(1)
Al7Ag: relaxed, PBE.

DFT formation energy	0.01	eV per atom
symmetry	No. 65
calculated total energy	-3.62	eV per atom
M_tot	0.00	μB per formula unit

Cell lengths 4.8942, 5.9190, 4.8942 Å; angles 90.00, 70.86, 90.00 degrees
Closest atoms and distances in Å follow each position.
Atoms (fractional coordinates):
1 Al 0.5000 0.5000 0.5000  12 Al 2.84-2.96
2 Al 0.0000 0.5000 0.0000  10 Al 2.84-2.85, 2 Ag 2.96
3 Al 0.0000 0.2524 0.5000  10 Al 2.84-2.99, 2 Ag 2.87
4 Al 0.5000 0.2524 0.0000  10 Al 2.84-2.99, 2 Ag 2.87
5 Al 0.0000 0.7476 0.5000  10 Al 2.84-2.99, 2 Ag 2.87
6 Al 0.5000 0.7476 0.0000  10 Al 2.84-2.99, 2 Ag 2.87
7 Al 0.5000 0.0000 0.5000  2 Ag 2.84, 10 Al 2.87-2.96
8 Ag 0.0000 0.0000 0.0000  12 Al 2.84-2.96

(2)
BaHfNbO6: relaxed, PBE.

uncorrected formation energy	-2.6725	eV/atom
symmetry	No. 102
calculated total energy	-8.42	eV per atom
M_tot	0.89	μB per formula unit

Cell lengths 5.1924, 5.1924, 10.2349 Å; angles 90.00, 90.00, 90.00 degrees
Closest atoms and distances in Å follow each position.
Atoms (fractional coordinates):
1 O 0.1595 0.8405 0.5036  1 Nb 2.04, 1 Hf 2.09
2 O 0.2360 0.7640 0.2130  1 Nb 2.00, 1 Hf 2.13
3 O 0.7360 0.7360 0.7130  1 Nb 2.00, 1 Hf 2.13
4 O 0.2264 0.7736 0.7827  1 Nb 2.04, 1 Hf 2.08
5 O 0.8405 0.1595 0.5036  1 Nb 2.04, 1 Hf 2.09
6 O 0.7264 0.7264 0.2827  1 Nb 2.04, 1 Hf 2.08
7 O 0.2736 0.2736 0.2827  1 Nb 2.04, 1 Hf 2.08
8 O 0.2640 0.2640 0.7130  1 Nb 2.00, 1 Hf 2.13
9 O 0.3405 0.3405 0.0036  1 Nb 2.04, 1 Hf 2.09
10 O 0.7736 0.2264 0.7827  1 Nb 2.04, 1 Hf 2.08
11 O 0.6595 0.6595 0.0036  1 Nb 2.04, 1 Hf 2.09
12 O 0.7640 0.2360 0.2130  1 Nb 2.00, 1 Hf 2.13
13 Nb 0.5000 0.5000 0.1667  6 O 2.00-2.04
14 Nb 0.0000 0.0000 0.6667  6 O 2.00-2.04
15 Hf 0.5000 0.5000 0.8339  6 O 2.08-2.13
16 Hf 0.0000 0.0000 0.3339  6 O 2.08-2.13
17 Ba 0.5000 0.5000 0.5010  6 O 2.50-2.78
18 Ba 0.0000 0.0000 0.0010  6 O 2.50-2.78

(3)
LaCo2Os: relaxed, PBE.

DFT formation energy	0.59	eV per atom
symmetry	No. 216
calculated total energy	-7.00	eV per atom
M_tot	3.55	μB per formula unit

Cell lengths 4.5478, 4.5478, 4.5478 Å; angles 60.00, 60.00, 60.00 degrees
Closest atoms and distances in Å follow each position.
Atoms (fractional coordinates):
1 Co 0.2500 0.2500 0.2500  4 La 2.78, 4 Co 2.78
2 Co 0.0000 0.0000 0.0000  4 Co 2.78, 4 Os 2.78
3 La 0.5000 0.5000 0.5000  4 Co 2.78, 4 Os 2.78
4 Os 0.7500 0.7500 0.7500  4 La 2.78, 4 Co 2.78

(4)
DySi3Rh3: relaxed, PBE.

uncorrected formation energy	-0.7471	eV/atom
symmetry	No. 176
calculated total energy	-6.88	eV per atom
M_tot	0.00	μB per formula unit

Cell lengths 4.0899, 8.4107, 8.4114 Å; angles 120.00, 90.00, 90.00 degrees
Closest atoms and distances in Å follow each position.
Atoms (fractional coordinates):
1 Rh 0.2500 0.6560 0.7220  4 Si 2.32-2.41
2 Rh 0.2500 0.2780 0.9339  4 Si 2.32-2.41
3 Rh 0.7500 0.7220 0.0661  4 Si 2.32-2.41
4 Rh 0.2500 0.0660 0.3441  4 Si 2.32-2.41
5 Rh 0.7500 0.9340 0.6559  4 Si 2.32-2.41
6 Rh 0.7500 0.3440 0.2780  4 Si 2.32-2.41
7 Si 0.7500 0.6248 0.5696  4 Rh 2.32-2.41
8 Si 0.2500 0.5697 0.9449  4 Rh 2.32-2.41
9 Si 0.7500 0.4303 0.0551  4 Rh 2.32-2.41
10 Si 0.2500 0.0551 0.6247  4 Rh 2.32-2.41
11 Si 0.7500 0.9449 0.3753  4 Rh 2.32-2.41
12 Si 0.2500 0.3752 0.4304  4 Rh 2.32-2.41
13 Dy 0.7500 0.3334 0.6667  9 Si 2.95-2.99, 6 Rh 3.24
14 Dy 0.2500 0.6666 0.3333  9 Si 2.95-2.99, 6 Rh 3.24

(5)
K12Sn4Au21: relaxed, PBE.

DFT formation energy	-0.36	eV per atom
symmetry	No. 59
calculated total energy	-3.01	eV per atom
M_tot	0.00	μB per formula unit

Cell lengths 8.8040, 12.3977, 18.4765 Å; angles 90.00, 90.00, 90.00 degrees
Closest atoms and distances in Å follow each position.
Atoms (fractional coordinates):
1 K 0.6048 0.2584 0.3304  8 Au 3.47-3.79, 2 K 3.50-3.59, 2 Sn 3.56-3.61
2 K 0.1718 0.0000 0.1771  11 Au 3.53-3.91, 4 K 3.59-3.91
3 K 0.8282 0.5000 0.6771  11 Au 3.53-3.91, 4 K 3.59-3.91
4 K 0.3952 0.2416 0.8304  8 Au 3.47-3.79, 2 K 3.50-3.59, 2 Sn 3.56-3.61
5 K 0.8282 0.5000 0.3229  11 Au 3.53-3.91, 4 K 3.59-3.91
6 K 0.0387 0.5000 0.5000  12 Au 3.62-3.74, 4 K 3.76-3.97
7 K 0.1224 0.5000 0.8356  9 Au 3.33-3.73, 1 K 3.67
8 K 0.6735 0.7533 0.0000  9 Au 3.26-3.64
9 K 0.8776 0.0000 0.6644  9 Au 3.33-3.73, 1 K 3.67
10 K 0.1224 0.5000 0.1644  9 Au 3.33-3.73, 1 K 3.67
11 K 0.8776 0.0000 0.3356  9 Au 3.33-3.73, 1 K 3.67
12 K 0.6048 0.2584 0.6696  8 Au 3.47-3.79, 2 K 3.50-3.59, 2 Sn 3.56-3.61
13 K 0.3952 0.7584 0.1696  8 Au 3.47-3.79, 2 K 3.50-3.59, 2 Sn 3.56-3.61
14 K 0.6048 0.7416 0.3304  8 Au 3.47-3.79, 2 K 3.50-3.59, 2 Sn 3.56-3.61
15 K 0.9613 0.0000 0.0000  12 Au 3.62-3.74, 4 K 3.76-3.97
16 K 0.1718 0.0000 0.8229  11 Au 3.53-3.91, 4 K 3.59-3.91
17 K 0.3265 0.7467 0.5000  9 Au 3.26-3.64
18 K 0.3265 0.2533 0.5000  9 Au 3.26-3.64
19 K 0.1111 0.0000 0.5000  4 K 3.67, 4 Sn 3.74-3.81, 8 Au 3.79-3.81
20 K 0.3952 0.7584 0.8304  8 Au 3.47-3.79, 2 K 3.50-3.59, 2 Sn 3.56-3.61
21 K 0.8889 0.5000 0.0000  4 K 3.67, 4 Sn 3.74-3.81, 8 Au 3.79-3.81
22 K 0.3952 0.2416 0.1696  8 Au 3.47-3.79, 2 K 3.50-3.59, 2 Sn 3.56-3.61
23 K 0.6735 0.2467 0.0000  9 Au 3.26-3.64
24 K 0.6048 0.7416 0.6696  8 Au 3.47-3.79, 2 K 3.50-3.59, 2 Sn 3.56-3.61
25 Au 0.0272 0.7511 0.9005  1 Sn 2.66, 3 Au 2.79-2.84
26 Au 0.2361 0.1597 0.3358  1 Sn 2.67, 3 Au 2.83-2.84
27 Au 0.2361 0.1597 0.6642  1 Sn 2.67, 3 Au 2.83-2.84
28 Au 0.0000 0.2500 0.2500  6 Au 2.79-2.88
29 Au 0.1954 0.6138 0.3357  6 Au 2.82-2.88
30 Au 0.7639 0.6597 0.8358  1 Sn 2.67, 3 Au 2.83-2.84
31 Au 0.8046 0.8862 0.8357  6 Au 2.82-2.88
32 Au 0.1954 0.6138 0.6643  6 Au 2.82-2.88
33 Au 0.9728 0.7489 0.5995  1 Sn 2.66, 3 Au 2.79-2.84
34 Au 0.5784 0.0000 0.0816  6 Au 2.83-3.01
35 Au 0.9728 0.7489 0.4005  1 Sn 2.66, 3 Au 2.79-2.84
36 Au 0.6446 0.3874 0.5000  1 Sn 2.68, 3 Au 2.79-2.84
37 Au 0.0272 0.7511 0.0995  1 Sn 2.66, 3 Au 2.79-2.84
38 Au 0.3554 0.1126 0.0000  1 Sn 2.68, 3 Au 2.79-2.84
39 Au 0.0272 0.2489 0.9005  1 Sn 2.66, 3 Au 2.79-2.84
40 Au 0.8046 0.1138 0.8357  6 Au 2.82-2.88
41 Au 0.8046 0.8862 0.1643  6 Au 2.82-2.88
42 Au 0.2361 0.8403 0.3358  1 Sn 2.67, 3 Au 2.83-2.84
43 Au 0.8046 0.1138 0.1643  6 Au 2.82-2.88
44 Au 0.5784 0.0000 0.9184  6 Au 2.83-3.01
45 Au 0.7639 0.6597 0.1642  1 Sn 2.67, 3 Au 2.83-2.84
46 Au 0.2361 0.8403 0.6642  1 Sn 2.67, 3 Au 2.83-2.84
47 Au 0.9728 0.2511 0.5995  1 Sn 2.66, 3 Au 2.79-2.84
48 Au 0.7639 0.3403 0.1642  1 Sn 2.67, 3 Au 2.83-2.84
49 Au 0.5638 0.0000 0.7652  1 Sn 2.70, 3 Au 2.83-2.86
50 Au 0.4075 0.5000 0.0000  4 Sn 2.84-2.86
51 Au 0.7639 0.3403 0.8358  1 Sn 2.67, 3 Au 2.83-2.84
52 Au 0.1954 0.3862 0.6643  6 Au 2.82-2.88
53 Au 0.9728 0.2511 0.4005  1 Sn 2.66, 3 Au 2.79-2.84
54 Au 0.3554 0.8874 0.0000  1 Sn 2.68, 3 Au 2.79-2.84
55 Au 0.0000 0.7500 0.7500  6 Au 2.79-2.88
56 Au 0.5925 0.0000 0.5000  4 Sn 2.84-2.86
57 Au 0.6446 0.6126 0.5000  1 Sn 2.68, 3 Au 2.79-2.84
58 Au 0.4362 0.5000 0.2652  1 Sn 2.70, 3 Au 2.83-2.86
59 Au 0.4362 0.5000 0.7348  1 Sn 2.70, 3 Au 2.83-2.86
60 Au 0.1954 0.3862 0.3357  6 Au 2.82-2.88
61 Au 0.5638 0.0000 0.2348  1 Sn 2.70, 3 Au 2.83-2.86
62 Au 0.0000 0.7500 0.2500  6 Au 2.79-2.88
63 Au 0.0000 0.2500 0.7500  6 Au 2.79-2.88
64 Au 0.0272 0.2489 0.0995  1 Sn 2.66, 3 Au 2.79-2.84
65 Au 0.4216 0.5000 0.4184  6 Au 2.83-3.01
66 Au 0.4216 0.5000 0.5816  6 Au 2.83-3.01
67 Sn 0.2287 0.6908 0.0000  4 Au 2.66-2.84
68 Sn 0.7713 0.8092 0.5000  4 Au 2.66-2.84
69 Sn 0.5698 0.5000 0.8662  4 Au 2.67-2.86
70 Sn 0.5698 0.5000 0.1338  4 Au 2.67-2.86
71 Sn 0.4302 0.0000 0.6338  4 Au 2.67-2.86
72 Sn 0.7713 0.1908 0.5000  4 Au 2.66-2.84
73 Sn 0.4302 0.0000 0.3662  4 Au 2.67-2.86
74 Sn 0.2287 0.3092 0.0000  4 Au 2.66-2.84

(6)
FeRuPb2: relaxed, PBE.

DFT formation energy	0.62	eV per atom
symmetry	No. 12
calculated total energy	-5.67	eV per atom
M_tot	2.36	μB per formula unit

Cell lengths 4.8264, 4.8264, 3.2668 Å; angles 89.92, 89.92, 90.00 degrees
Closest atoms and distances in Å follow each position.
Atoms (fractional coordinates):
1 Pb 0.0000 0.0000 0.0000  4 Ru 2.91-2.92, 4 Fe 2.91-2.92
2 Pb 0.5000 0.5000 0.0000  4 Fe 2.91-2.92, 4 Ru 2.91-2.92
3 Ru 0.5000 0.0000 0.5000  8 Pb 2.91-2.92
4 Fe 0.0000 0.5000 0.5000  8 Pb 2.91-2.92